# 1
Below is a relaxed structure of NbFePb2, with properties calculated at the PBE-GGA level.

Output
- SG = I-42d
- formation energy from the elements (eV per atom) = 0.917

Cell: 6.127 6.127 6.127 Å, 103.26 103.26 122.76°
Element x y z (fractional)
Nb (0.000, 0.000, 0.000)
Nb (0.750, 0.250, 0.500)
Fe (0.250, 0.750, 0.500)
Fe (0.500, 0.500, 0.000)
Pb (0.165, 0.625, 0.040)
Pb (0.375, 0.415, 0.540)
Pb (0.585, 0.125, 0.960)
Pb (0.875, 0.835, 0.460)


# 2
Below is a relaxed structure of LaYF3, with properties calculated at the PBE-GGA level.

Output
- SG = Pm-3m
- offset from the most stable computed form (meV per atom) = 85

Cell: 4.822 4.822 4.822 Å, 90.00 90.00 90.00°
Element x y z (fractional)
La (0.000, 0.000, 0.000)
Y (0.500, 0.500, 0.500)
F (0.000, 0.000, 0.500)
F (0.000, 0.500, 0.000)
F (0.500, 0.000, 0.000)


# 3
Below is a relaxed structure of NdEr3Sc2, with properties calculated at the PBE-GGA level.

Output
- SG = Cmcm
- offset from the most stable computed form (meV per atom) = 153
- formation energy from the elements (eV per atom) = 0.303

Cell: 8.618 8.618 5.449 Å, 90.00 90.00 68.46°
Element x y z (fractional)
Nd (0.231, 0.769, 0.750)
Nd (0.769, 0.231, 0.250)
Er (0.132, 0.390, 0.250)
Er (0.390, 0.132, 0.750)
Er (0.405, 0.595, 0.250)
Er (0.595, 0.405, 0.750)
Er (0.610, 0.868, 0.250)
Er (0.868, 0.610, 0.750)
Sc (0.015, 0.200, 0.750)
Sc (0.200, 0.015, 0.250)
Sc (0.800, 0.985, 0.750)
Sc (0.985, 0.800, 0.250)


# 4
Below is a relaxed structure of Hf3BC, with properties calculated at the PBE-GGA level.

Output
- SG = P2_1/m
- offset from the most stable computed form (meV per atom) = 0
- formation energy from the elements (eV per atom) = -0.157

Cell: 5.865 3.558 8.677 Å, 90.00 103.94 90.00°
Element x y z (fractional)
Hf (0.049, 0.250, 0.154)
Hf (0.270, 0.750, 0.470)
Hf (0.444, 0.750, 0.846)
Hf (0.556, 0.250, 0.154)
Hf (0.730, 0.250, 0.530)
Hf (0.951, 0.750, 0.846)
B (0.226, 0.250, 0.930)
B (0.774, 0.750, 0.070)
C (0.383, 0.250, 0.361)
C (0.617, 0.750, 0.639)


# 5
Below is a relaxed structure of Ta5Ir4Ru, with properties calculated at the PBE-GGA level.

Output
- SG = P4/mmm
- formation energy from the elements (eV per atom) = -0.517

Cell: 2.918 2.918 18.922 Å, 90.00 90.00 90.00°
Element x y z (fractional)
Ta (0.000, 0.000, 0.000)
Ta (0.000, 0.000, 0.202)
Ta (0.000, 0.000, 0.404)
Ta (0.000, 0.000, 0.596)
Ta (0.000, 0.000, 0.798)
Ir (0.500, 0.500, 0.101)
Ir (0.500, 0.500, 0.304)
Ir (0.500, 0.500, 0.696)
Ir (0.500, 0.500, 0.899)
Ru (0.500, 0.500, 0.500)


# 6
Below is a relaxed structure of TlSn2Hg2, with properties calculated at the PBE-GGA level.

Output
- SG = I4/mmm
- offset from the most stable computed form (meV per atom) = 18
- formation energy from the elements (eV per atom) = 0.066

Cell: 7.566 7.566 7.566 Å, 144.21 144.21 51.52°
Element x y z (fractional)
Tl (0.000, 0.000, 0.000)
Sn (0.250, 0.750, 0.500)
Sn (0.750, 0.250, 0.500)
Hg (0.397, 0.397, 0.000)
Hg (0.603, 0.603, 0.000)


# 7
Below is a relaxed structure of K5PtSe8, with properties calculated at the PBE-GGA level.

Output
- SG = I-4
- uncorrected energy (eV for the cell shown) = -47.51

Cell: 8.705 8.705 8.705 Å, 111.86 111.86 104.79°
Element x y z (fractional)
K (0.000, 0.000, 0.000)
K (0.178, 0.250, 0.617)
K (0.439, 0.822, 0.072)
K (0.633, 0.561, 0.383)
K (0.750, 0.367, 0.928)
Pt (0.250, 0.750, 0.500)
Se (0.032, 0.425, 0.352)
Se (0.072, 0.680, 0.648)
Se (0.208, 0.380, 0.037)
Se (0.320, 0.968, 0.393)
Se (0.343, 0.171, 0.963)
Se (0.575, 0.928, 0.607)
Se (0.620, 0.657, 0.828)
Se (0.829, 0.792, 0.172)


# 8
Below is a relaxed structure of LiMg3N, with properties calculated at the PBE-GGA level.

Output
- SG = Pm-3m
- offset from the most stable computed form (meV per atom) = 1456

Cell: 4.858 4.858 4.858 Å, 90.00 90.00 90.00°
Element x y z (fractional)
Li (0.000, 0.000, 0.000)
Mg (0.000, 0.000, 0.500)
Mg (0.000, 0.500, 0.000)
Mg (0.500, 0.000, 0.000)
N (0.500, 0.500, 0.500)


# 9
Below is a relaxed structure of Y3MgTe6, with properties calculated at the PBE-GGA level.

Output
- SG = Cmc2_1
- uncorrected energy (eV for the cell shown) = -102.67

Cell: 9.399 9.399 7.546 Å, 90.00 90.00 99.31°
Element x y z (fractional)
Y (0.096, 0.904, 0.500)
Y (0.227, 0.422, 0.402)
Y (0.422, 0.227, 0.902)
Y (0.578, 0.773, 0.402)
Y (0.773, 0.578, 0.902)
Y (0.904, 0.096, 0.000)
Mg (0.287, 0.713, 0.875)
Mg (0.713, 0.287, 0.375)
Te (0.046, 0.597, 0.671)
Te (0.126, 0.205, 0.703)
Te (0.205, 0.126, 0.203)
Te (0.271, 0.729, 0.242)
Te (0.403, 0.954, 0.671)
Te (0.463, 0.537, 0.704)
Te (0.537, 0.463, 0.204)
Te (0.597, 0.046, 0.171)
Te (0.729, 0.271, 0.742)
Te (0.795, 0.874, 0.703)
Te (0.874, 0.795, 0.203)
Te (0.954, 0.403, 0.171)


# 10
Below is a relaxed structure of La8Co2Pt, with properties calculated at the PBE-GGA level.

Output
- SG = Cm
- formation energy from the elements (eV per atom) = -0.212

Cell: 7.792 7.792 6.594 Å, 100.22 100.22 118.49°
Element x y z (fractional)
La (0.000, 0.000, 0.000)
La (0.121, 0.531, 0.197)
La (0.256, 0.978, 0.581)
La (0.440, 0.715, 0.813)
La (0.531, 0.121, 0.197)
La (0.694, 0.694, 0.390)
La (0.715, 0.440, 0.813)
La (0.978, 0.256, 0.581)
Co (0.040, 0.668, 0.697)
Co (0.668, 0.040, 0.697)
Pt (0.349, 0.349, 0.424)


# 11
Below is a relaxed structure of Be2CuMo, with properties calculated at the PBE-GGA level.

Output
- SG = I-42d
- offset from the most stable computed form (meV per atom) = 490
- formation energy from the elements (eV per atom) = 0.432

Cell: 4.998 4.998 4.998 Å, 104.95 104.95 118.94°
Element x y z (fractional)
Be (0.099, 0.625, 0.974)
Be (0.375, 0.349, 0.474)
Be (0.651, 0.125, 0.026)
Be (0.875, 0.901, 0.526)
Cu (0.000, 0.000, 0.000)
Cu (0.750, 0.250, 0.500)
Mo (0.250, 0.750, 0.500)
Mo (0.500, 0.500, 0.000)


# 12
Below is a relaxed structure of AcAlCd4Ag2, with properties calculated at the PBE-GGA level.

Output
- SG = R-3m
- formation energy from the elements (eV per atom) = -0.079

Cell: 10.235 10.235 10.235 Å, 26.80 26.80 26.80°
Element x y z (fractional)
Ac (0.000, 0.000, 0.000)
Al (0.500, 0.500, 0.500)
Cd (0.128, 0.128, 0.128)
Cd (0.401, 0.401, 0.401)
Cd (0.599, 0.599, 0.599)
Cd (0.872, 0.872, 0.872)
Ag (0.243, 0.243, 0.243)
Ag (0.757, 0.757, 0.757)


# 13
Below is a relaxed structure of NdMgTlPb, with properties calculated at the PBE-GGA level.

Output
- SG = Pmmm
- offset from the most stable computed form (meV per atom) = 0
- formation energy from the elements (eV per atom) = -0.363

Cell: 4.551 4.833 4.987 Å, 90.00 90.00 90.00°
Element x y z (fractional)
Nd (0.000, 0.000, 0.000)
Mg (0.000, 0.500, 0.500)
Tl (0.500, 0.000, 0.500)
Pb (0.500, 0.500, 0.000)


# 14
Below is a relaxed structure of BaDy2Pa, with properties calculated at the PBE-GGA level.

Output
- SG = R-3m
- formation energy from the elements (eV per atom) = 0.296

Cell: 12.666 12.666 12.666 Å, 15.93 15.93 15.93°
Element x y z (fractional)
Ba (0.000, 0.000, 0.000)
Dy (0.096, 0.096, 0.096)
Dy (0.904, 0.904, 0.904)
Pa (0.500, 0.500, 0.500)


# 15
Below is a relaxed structure of K2SiAs2, with properties calculated at the PBE-GGA level.

Output
- SG = P4/mbm
- offset from the most stable computed form (meV per atom) = 351

Cell: 7.038 7.038 5.375 Å, 90.00 90.00 90.00°
Element x y z (fractional)
K (0.178, 0.322, 0.000)
K (0.322, 0.822, 0.000)
K (0.678, 0.178, 0.000)
K (0.822, 0.678, 0.000)
Si (0.000, 0.000, 0.500)
Si (0.500, 0.500, 0.500)
As (0.126, 0.626, 0.500)
As (0.374, 0.126, 0.500)
As (0.626, 0.874, 0.500)
As (0.874, 0.374, 0.500)


# 16
Below is a relaxed structure of Nb2Pd2I, with properties calculated at the PBE-GGA level.

Output
- SG = I4/mmm
- offset from the most stable computed form (meV per atom) = 0

Cell: 7.567 7.567 7.567 Å, 150.80 150.80 41.77°
Element x y z (fractional)
Nb (0.250, 0.750, 0.500)
Nb (0.750, 0.250, 0.500)
Pd (0.105, 0.105, 0.000)
Pd (0.895, 0.895, 0.000)
I (0.500, 0.500, 0.000)


# 17
Below is a relaxed structure of HgRhO2, with properties calculated at the PBE-GGA level.

Output
- SG = R3m
- uncorrected energy (eV for the cell shown) = -18.02

Cell: 8.089 8.089 8.089 Å, 21.17 21.17 21.17°
Element x y z (fractional)
Hg (0.000, 0.000, 0.000)
Rh (0.505, 0.505, 0.505)
O (0.123, 0.123, 0.123)
O (0.581, 0.581, 0.581)


# 18
Below is a relaxed structure of Ac3NdPa2N6, with properties calculated at the PBE-GGA level.

Output
- SG = C2/m
- uncorrected energy (eV for the cell shown) = -102.56

Cell: 8.349 8.349 7.499 Å, 104.93 104.93 25.44°
Element x y z (fractional)
Ac (0.000, 0.000, 0.000)
Ac (0.333, 0.333, 0.664)
Ac (0.667, 0.667, 0.336)
Nd (0.000, 0.000, 0.500)
Pa (0.333, 0.333, 0.170)
Pa (0.667, 0.667, 0.830)
N (0.163, 0.163, 0.625)
N (0.179, 0.179, 0.046)
N (0.478, 0.478, 0.250)
N (0.522, 0.522, 0.750)
N (0.821, 0.821, 0.954)
N (0.837, 0.837, 0.375)


# 19
Below is a relaxed structure of CeH8RuRh2, with properties calculated at the PBE-GGA level.

Output
- SG = R-3
- uncorrected energy (eV for the cell shown) = -58.35

Cell: 6.117 6.117 6.117 Å, 45.20 45.20 45.20°
Element x y z (fractional)
Ce (0.000, 0.000, 0.000)
H (0.148, 0.776, 0.405)
H (0.224, 0.595, 0.852)
H (0.316, 0.316, 0.316)
H (0.405, 0.148, 0.776)
H (0.595, 0.852, 0.224)
H (0.684, 0.684, 0.684)
H (0.776, 0.405, 0.148)
H (0.852, 0.224, 0.595)
Ru (0.500, 0.500, 0.500)
Rh (0.216, 0.216, 0.216)
Rh (0.784, 0.784, 0.784)


# 20
Below is a relaxed structure of ScCdAg4, with properties calculated at the PBE-GGA level.

Output
- SG = C2/c
- offset from the most stable computed form (meV per atom) = 22
- formation energy from the elements (eV per atom) = -0.064

Cell: 7.345 7.345 5.478 Å, 101.05 101.05 120.54°
Element x y z (fractional)
Sc (0.088, 0.912, 0.750)
Sc (0.912, 0.088, 0.250)
Cd (0.496, 0.504, 0.750)
Cd (0.504, 0.496, 0.250)
Ag (0.076, 0.328, 0.879)
Ag (0.204, 0.603, 0.454)
Ag (0.328, 0.076, 0.379)
Ag (0.397, 0.796, 0.046)
Ag (0.603, 0.204, 0.954)
Ag (0.672, 0.924, 0.621)
Ag (0.796, 0.397, 0.546)
Ag (0.924, 0.672, 0.121)